[1]
# HgH2Br4 GGA-PBE optimized geometry
# **Total DFT energy (no corrections)**: -16.0 eV/cell
# **D(E_F)**: 0.00 states/eV/cell
data_HgH2Br4
_cell_length_a 4.388
_cell_length_b 6.521
_cell_length_c 8.350
_cell_angle_alpha 80.18
_cell_angle_beta 79.84
_cell_angle_gamma 88.77
_symmetry_space_group_name_H-M 'P -1'
_symmetry_Int_Tables_number 2
loop_
_symmetry_equiv_pos_as_xyz
'x,y,z'
'-x,-y,-z'
loop_
_atom_site_label
_atom_site_fract_x
_atom_site_fract_y
_atom_site_fract_z
_atom_site_occupancy
Hg1 0.000 0.000 0.000 1
H1 0.141 0.549 0.735 1
Br1 0.026 0.265 0.324 1
Br2 0.405 0.237 0.822 1

---

[2]
# HgHBr3 GGA-PBE optimized geometry
# **ΔE to the lowest computed polymorph**: 0.002 eV per atom
# **Total DFT energy (no corrections)**: -41.8 eV/cell
# **D(E_F)**: 0.00 states/eV/cell
data_HgHBr3
_cell_length_a 8.774
_cell_length_b 6.527
_cell_length_c 12.779
_cell_angle_alpha 90.00
_cell_angle_beta 90.67
_cell_angle_gamma 90.00
_symmetry_space_group_name_H-M 'P 1 21/c 1'
_symmetry_Int_Tables_number 14
loop_
_symmetry_equiv_pos_as_xyz
'x,y,z'
'-x,-y,-z'
'-x,y+1/2,-z+1/2'
'x,-y+1/2,z+1/2'
loop_
_atom_site_label
_atom_site_fract_x
_atom_site_fract_y
_atom_site_fract_z
_atom_site_occupancy
Hg1 0.066 0.244 0.413 1
H1 0.480 0.157 0.768 1
Br1 0.092 0.032 0.153 1
Br2 0.236 0.531 0.977 1
Br3 0.404 0.518 0.314 1

---

[3]
# HgH2Br3 GGA-PBE optimized geometry
# **Total DFT energy (no corrections)**: -27.5 eV/cell
# **D(E_F)**: 0.00 states/eV/cell
data_HgH2Br3
_cell_length_a 6.258
_cell_length_b 8.503
_cell_length_c 9.073
_cell_angle_alpha 105.53
_cell_angle_beta 109.66
_cell_angle_gamma 96.66
_symmetry_space_group_name_H-M 'P 1'
_symmetry_Int_Tables_number 1
loop_
_symmetry_equiv_pos_as_xyz
'x,y,z'
loop_
_atom_site_label
_atom_site_fract_x
_atom_site_fract_y
_atom_site_fract_z
_atom_site_occupancy
Hg1 0.000 0.000 0.000 1
Hg2 0.405 0.184 0.065 1
H1 0.102 0.364 0.354 1
H2 0.156 0.376 0.681 1
H3 0.528 0.811 0.164 1
H4 0.806 0.819 0.489 1
Br1 0.036 0.819 0.602 1
Br2 0.047 0.386 0.801 1
Br3 0.325 0.360 0.476 1
Br4 0.432 0.812 0.291 1
Br5 0.609 0.818 0.938 1
Br6 0.796 0.368 0.129 1

---

[4]
# Hg3HBr GGA-PBE optimized geometry
# **ΔE to the lowest computed polymorph**: 0.298 eV per atom
# **Total DFT energy (no corrections)**: -4.6 eV/cell
# **D(E_F)**: 1.57 states/eV/cell
data_Hg3HBr
_cell_length_a 4.854
_cell_length_b 4.854
_cell_length_c 4.854
_cell_angle_alpha 90.00
_cell_angle_beta 90.00
_cell_angle_gamma 90.00
_symmetry_space_group_name_H-M 'P m -3 m'
_symmetry_Int_Tables_number 221
_symmetry_space_group_name_Hall '-P 4 2 3'
loop_
_atom_site_label
_atom_site_fract_x
_atom_site_fract_y
_atom_site_fract_z
_atom_site_occupancy
Hg1 0.000 0.000 0.500 1
H1 0.000 0.000 0.000 1
Br1 0.500 0.500 0.500 1

---

[5]
# HgHBr2 GGA-PBE optimized geometry
# **ΔE to the lowest computed polymorph**: 0.413 eV per atom
# **Total DFT energy (no corrections)**: -17.4 eV/cell
# **D(E_F)**: 0.00 states/eV/cell
data_HgHBr2
_cell_length_a 5.1410
_cell_length_b 5.1410
_cell_length_c 23.5366
_cell_angle_alpha 90.00
_cell_angle_beta 90.00
_cell_angle_gamma 120.00
_symmetry_space_group_name_H-M 'R -3 m'
_symmetry_Int_Tables_number 166
_symmetry_space_group_name_Hall '-R 3 2"'
loop_
_atom_site_label
_atom_site_fract_x
_atom_site_fract_y
_atom_site_fract_z
_atom_site_occupancy
Hg1 0.0000 0.0000 0.0000 1
H1 0.0000 0.0000 0.5000 1
Br1 0.0000 0.0000 0.1028 1

---

[6]
# HgHBr2 GGA-PBE optimized geometry
# **ΔE to the lowest computed polymorph**: 0.575 eV per atom
# **Total DFT energy (no corrections)**: -20.6 eV/cell
# **D(E_F)**: 1.79 states/eV/cell
data_HgHBr2
_cell_length_a 7.103
_cell_length_b 7.103
_cell_length_c 7.103
_cell_angle_alpha 90.00
_cell_angle_beta 90.00
_cell_angle_gamma 90.00
_symmetry_space_group_name_H-M 'F m -3 m'
_symmetry_Int_Tables_number 225
_symmetry_space_group_name_Hall '-F 4 2 3'
loop_
_atom_site_label
_atom_site_fract_x
_atom_site_fract_y
_atom_site_fract_z
_atom_site_occupancy
Hg1 0.000 0.000 0.000 1
H1 0.000 0.000 0.500 1
Br1 0.250 0.250 0.250 1